DFT (PBE-GGA) results for a relaxed LiSi2Pd crystal.

CIF file:
```
data_LiSi2Pd
_cell_length_a 7.414
_cell_length_b 7.414
_cell_length_c 4.844
_cell_angle_alpha 90.00
_cell_angle_beta 90.00
_cell_angle_gamma 90.00
_space_group_name_H-M_alt 'I -4 2 d'
_space_group_IT_number 122
_space_group_name_Hall 'I -4 2bw'
loop_
_atom_site_label
_atom_site_type_symbol
_atom_site_fract_x
_atom_site_fract_y
_atom_site_fract_z
_atom_site_occupancy
Li1 Li 0.000 0.000 0.000 1
Si1 Si 0.196 0.250 0.625 1
Pd1 Pd 0.000 0.000 0.500 1
```

Calculated values
The value obtained for the magnetic moment is 0.0 μB/f.u. As for the formation energy from raw total energies: -0.3 eV per formula unit.